# WAuBr2

A geometry-optimized WAuBr2 structure (PBE-GGA, the Alexandria database).

The structure in POSCAR format:
```
WAuBr2
1.0
3.250 -0.020 0.000
-1.822 2.691 0.000
0.000 0.000 11.113
Au Br W
1 2 1
direct
0.500 0.500 0.750 Au
0.000 0.000 0.437 Br
0.000 0.000 0.063 Br
0.500 0.500 0.250 W
```

Values from the calculation:
**Energy above the lowest structure with this stoichiometry**: 350 meV/atom
**Symmetry**: Cmmm
**M_tot**: 0.98 μB per cell

# Ta6Co5Rh

A geometry-optimized Ta6Co5Rh structure (PBE-GGA, the Alexandria database).

The structure in POSCAR format:
```
Ta6Co5Rh
1.0
-0.656 -1.344 -3.705
6.584 -3.045 -0.061
0.638 -7.267 0.368
Co Ta Rh
5 6 1
direct
0.332 0.332 0.336 Co
0.000 0.500 0.000 Co
0.668 0.668 0.664 Co
0.667 0.167 0.666 Co
0.333 0.833 0.334 Co
0.500 0.739 0.000 Ta
0.169 0.913 0.663 Ta
0.500 0.261 0.000 Ta
0.831 0.087 0.337 Ta
0.169 0.425 0.663 Ta
0.831 0.575 0.337 Ta
0.000 0.000 0.000 Rh
```

Values from the calculation:
**ΔH_f (0 K)**: -0.17 eV per atom
**Symmetry**: Immm
**M_tot**: 0.25 μB per cell